Entry from Alexandria via LeMat-Bulk: a geometry-optimized Nd4TlInHg2 structure (PBE).

Lattice parameters (Å, degrees): 5.4795 5.4795 26.8228 90.00 90.00 120.00
Space group R-3m (No. 166, hexagonal axes)
Symmetry-distinct sites (fractional):
1 Nd 0.0000 0.0000 0.1251 (multiplicity 6)
2 Nd 0.0000 0.0000 0.3752 (multiplicity 6)
3 Tl 0.0000 0.0000 0.0000 (multiplicity 3)
4 In 0.0000 0.0000 0.5000 (multiplicity 3)
5 Hg 0.0000 0.0000 0.2491 (multiplicity 6)

Computed properties:
DFT total energy (eV per atom): -3.5512
Magnetization (μB/atom): 0.207
Formation energy (meV/atom): -454

Entry from Alexandria via LeMat-Bulk: a geometry-optimized NdTmInHg structure (PBE).

Lattice parameters (Å, degrees): 7.5817 7.5817 7.5817 90.00 90.00 90.00
Space group F-43m (No. 216)
Symmetry-distinct sites (fractional):
1 Nd 0.0000 0.0000 0.0000 (multiplicity 4)
2 Tm 0.0000 0.0000 0.5000 (multiplicity 4)
3 In 0.2500 0.2500 0.2500 (multiplicity 4)
4 Hg 0.2500 0.2500 0.7500 (multiplicity 4)

Computed properties:
DFT total energy (eV per atom): -3.5181
Magnetization (μB/atom): 0.021
Formation energy (meV/atom): -448

Entry from Alexandria via LeMat-Bulk: a geometry-optimized NdY2In2Hg2 structure (PBE).

Lattice parameters (Å, degrees): 4.9604 4.9604 27.0499 90.00 90.00 120.00
Space group R-3m (No. 166, hexagonal axes)
Symmetry-distinct sites (fractional):
1 Nd 0.0000 0.0000 0.0000 (multiplicity 3)
2 Y 0.0000 0.0000 0.1319 (multiplicity 6)
3 In 0.0000 0.0000 0.2664 (multiplicity 6)
4 Hg 0.0000 0.0000 0.4285 (multiplicity 6)

Computed properties:
DFT total energy (eV per atom): -3.7047
Magnetization (μB/atom): 0.000
Formation energy (meV/atom): -308

Entry from Alexandria via LeMat-Bulk: a geometry-optimized NdZrInHg structure (PBE).

Lattice parameters (Å, degrees): 7.3975 7.3975 7.3975 90.00 90.00 90.00
Space group F-43m (No. 216)
Symmetry-distinct sites (fractional):
1 Nd 0.0000 0.0000 0.0000 (multiplicity 4)
2 Zr 0.0000 0.0000 0.5000 (multiplicity 4)
3 In 0.2500 0.2500 0.2500 (multiplicity 4)
4 Hg 0.2500 0.2500 0.7500 (multiplicity 4)

Computed properties:
DFT total energy (eV per atom): -4.3484
Magnetization (μB/atom): 0.000
Formation energy (meV/atom): -259

Entry from Alexandria via LeMat-Bulk: a geometry-optimized In2Ni2Hg structure (PBE).

Lattice parameters (Å, degrees): 3.4229 3.4229 17.1165 90.00 90.00 90.00
Space group I4/mmm (No. 139)
Symmetry-distinct sites (fractional):
1 In 0.0000 0.0000 0.1298 (multiplicity 4)
2 Ni 0.0000 0.5000 0.2500 (multiplicity 4)
3 Hg 0.0000 0.0000 0.5000 (multiplicity 2)

Computed properties:
DFT total energy (eV per atom): -3.3465
Magnetization (μB/atom): 0.000
Formation energy (meV/atom): 122

Entry from Alexandria via LeMat-Bulk: a geometry-optimized InNiHg3 structure (PBE).

Lattice parameters (Å, degrees): 5.0791 5.0791 5.0791 90.00 90.00 90.00
Space group Pm-3m (No. 221)
Symmetry-distinct sites (fractional):
1 In 0.0000 0.0000 0.0000 (multiplicity 1)
2 Ni 0.5000 0.5000 0.5000 (multiplicity 1)
3 Hg 0.0000 0.5000 0.5000 (multiplicity 3)

Computed properties:
DFT total energy (eV per atom): -1.7382
E above lowest polymorph (meV/atom): 0.0
Magnetization (μB/atom): 0.000
Formation energy (meV/atom): 147

Entry from Alexandria via LeMat-Bulk: a geometry-optimized InNi2Hg2 structure (PBE).

Lattice parameters (Å, degrees): 3.3776 3.3776 17.5368 90.00 90.00 90.00
Space group I4/mmm (No. 139)
Symmetry-distinct sites (fractional):
1 In 0.0000 0.0000 0.0000 (multiplicity 2)
2 Ni 0.0000 0.5000 0.2500 (multiplicity 4)
3 Hg 0.0000 0.0000 0.3722 (multiplicity 4)

Computed properties:
DFT total energy (eV per atom): -2.7181
E above lowest polymorph (meV/atom): 160.9
Magnetization (μB/atom): 0.000
Formation energy (meV/atom): 263

Entry from Alexandria via LeMat-Bulk: a geometry-optimized InNi2Hg structure (PBE).

Lattice parameters (Å, degrees): 6.3056 6.3056 6.3056 90.00 90.00 90.00
Space group Fm-3m (No. 225)
Symmetry-distinct sites (fractional):
1 In 0.0000 0.0000 0.0000 (multiplicity 4)
2 Ni 0.2500 0.2500 0.2500 (multiplicity 8)
3 Hg 0.0000 0.0000 0.5000 (multiplicity 4)

Computed properties:
DFT total energy (eV per atom): -3.5936
E above lowest polymorph (meV/atom): 0.0
Magnetization (μB/atom): 0.000
Formation energy (meV/atom): 57

Entry from Alexandria via LeMat-Bulk: a geometry-optimized InNi3Hg structure (PBE).

Lattice parameters (Å, degrees): 4.6809 4.6809 4.6809 90.00 90.00 90.00
Space group Pm-3m (No. 221)
Symmetry-distinct sites (fractional):
1 In 0.0000 0.0000 0.0000 (multiplicity 1)
2 Ni 0.0000 0.0000 0.5000 (multiplicity 3)
3 Hg 0.5000 0.5000 0.5000 (multiplicity 1)

Computed properties:
DFT total energy (eV per atom): -3.0218
E above lowest polymorph (meV/atom): 0.0
Magnetization (μB/atom): 0.000
Formation energy (meV/atom): 1055

Entry from Alexandria via LeMat-Bulk: a geometry-optimized InNi2Hg structure (PBE).

Lattice parameters (Å, degrees): 4.3989 4.3989 3.2463 90.00 90.00 90.00
Space group P4/mmm (No. 123)
Symmetry-distinct sites (fractional):
1 In 0.0000 0.0000 0.0000 (multiplicity 1)
2 Ni 0.0000 0.5000 0.5000 (multiplicity 2)
3 Hg 0.5000 0.5000 0.0000 (multiplicity 1)

Computed properties:
DFT total energy (eV per atom): -3.5840
E above lowest polymorph (meV/atom): 9.6
Magnetization (μB/atom): 0.000
Formation energy (meV/atom): 67

Entry from Alexandria via LeMat-Bulk: a geometry-optimized In3NiHg structure (PBE).

Lattice parameters (Å, degrees): 5.0170 5.0170 5.0170 90.00 90.00 90.00
Space group Pm-3m (No. 221)
Symmetry-distinct sites (fractional):
1 In 0.0000 0.0000 0.5000 (multiplicity 3)
2 Ni 0.0000 0.0000 0.0000 (multiplicity 1)
3 Hg 0.5000 0.5000 0.5000 (multiplicity 1)

Computed properties:
DFT total energy (eV per atom): -2.9195
E above lowest polymorph (meV/atom): 0.0
Magnetization (μB/atom): 0.000
Formation energy (meV/atom): -60

Entry from Alexandria via LeMat-Bulk: a geometry-optimized InNi2Hg structure (PBE).

Lattice parameters (Å, degrees): 3.8222 3.8222 8.7527 90.00 90.00 90.00
Space group I-4m2 (No. 119)
Symmetry-distinct sites (fractional):
1 In 0.0000 0.0000 0.0000 (multiplicity 2)
2 Ni 0.0000 0.0000 0.5000 (multiplicity 2)
3 Ni 0.0000 0.5000 0.7500 (multiplicity 2)
4 Hg 0.0000 0.5000 0.2500 (multiplicity 2)

Computed properties:
DFT total energy (eV per atom): -3.5019
E above lowest polymorph (meV/atom): 91.7
Magnetization (μB/atom): 0.000
Formation energy (meV/atom): 149